# 1
# Tl2ZnFe2

A PBEsol-optimized structure of Tl2ZnFe2 (SCAN, Alexandria via LeMat-Bulk). Values from VASP.

Quantum ESPRESSO input file:
```
&SYSTEM
  ibrav = 0, nat = 5, ntyp = 3
/
ATOMIC_SPECIES
Tl 204.38 Tl.upf
Zn 65.41 Zn.upf
Fe 55.84 Fe.upf
CELL_PARAMETERS angstrom
-1.636 1.636 8.617
1.636 -1.636 8.617
1.636 1.636 -8.617
ATOMIC_POSITIONS crystal
Tl 0.115 0.115 0.000
Tl 0.885 0.885 0.000
Zn 0.500 0.500 0.000
Fe 0.250 0.750 0.500
Fe 0.750 0.250 0.500
```

Summary:
Energy of formation (eV per formula unit): 2.58
Magnetic moment (μB per cell): 5.096

***

# 2
# ZrTlP

A PBEsol-optimized structure of ZrTlP (SCAN, Alexandria via LeMat-Bulk). Values from VASP.

Quantum ESPRESSO input file:
```
&SYSTEM
  ibrav = 0, nat = 3, ntyp = 3
/
ATOMIC_SPECIES
Zr 91.22 Zr.upf
Tl 204.38 Tl.upf
P 30.97 P.upf
CELL_PARAMETERS angstrom
0.000 3.257 3.257
3.257 0.000 3.257
3.257 3.257 0.000
ATOMIC_POSITIONS crystal
Zr 0.000 0.000 0.000
Tl 0.250 0.250 0.250
P 0.750 0.750 0.750
```

Summary:
Energy of formation (eV per formula unit): 0.26
Magnetic moment (μB per cell): 0.002

***

# 3
# ScTi2F

A PBEsol-optimized structure of ScTi2F (SCAN, Alexandria via LeMat-Bulk). Values from VASP.

Quantum ESPRESSO input file:
```
&SYSTEM
  ibrav = 0, nat = 4, ntyp = 3
/
ATOMIC_SPECIES
Sc 44.96 Sc.upf
Ti 47.87 Ti.upf
F 19.00 F.upf
CELL_PARAMETERS angstrom
0.000 3.219 3.219
3.219 0.000 3.219
3.219 3.219 0.000
ATOMIC_POSITIONS crystal
Sc 0.000 0.000 0.000
Ti 0.250 0.250 0.250
Ti 0.750 0.750 0.750
F 0.500 0.500 0.500
```

Summary:
Raw formation energy (meV per atom): 406
Magnetic moment (μB per cell): 0.132

***

# 4
# YTi2CuSn

A PBEsol-optimized structure of YTi2CuSn (SCAN, Alexandria via LeMat-Bulk). Values from VASP.

Quantum ESPRESSO input file:
```
&SYSTEM
  ibrav = 0, nat = 5, ntyp = 4
/
ATOMIC_SPECIES
Y 88.91 Y.upf
Ti 47.87 Ti.upf
Cu 63.55 Cu.upf
Sn 118.71 Sn.upf
CELL_PARAMETERS angstrom
4.643 0.000 0.000
0.000 4.643 0.000
0.000 0.000 5.027
ATOMIC_POSITIONS crystal
Y 0.000 0.000 0.000
Ti 0.000 0.500 0.500
Ti 0.500 0.000 0.500
Cu 0.000 0.000 0.500
Sn 0.500 0.500 0.000
```

Summary:
Energy of formation (eV per formula unit): 0.52
Magnetic moment (μB per cell): 0.013

***

# 5
# LaZrNi2

A PBEsol-optimized structure of LaZrNi2 (SCAN, Alexandria via LeMat-Bulk). Values from VASP.

Quantum ESPRESSO input file:
```
&SYSTEM
  ibrav = 0, nat = 4, ntyp = 3
/
ATOMIC_SPECIES
La 138.91 La.upf
Zr 91.22 Zr.upf
Ni 58.69 Ni.upf
CELL_PARAMETERS angstrom
2.012 1.161 5.882
-2.012 1.161 5.882
0.000 -2.323 5.882
ATOMIC_POSITIONS crystal
La 0.000 0.000 0.000
Zr 0.184 0.184 0.184
Ni 0.448 0.448 0.448
Ni 0.780 0.780 0.780
```

Summary:
Energy of formation (eV per formula unit): -0.62
Magnetic moment (μB per cell): 0.002

***

# 6
# Na2SiBiCO7

A PBEsol-optimized structure of Na2SiBiCO7 (SCAN, Alexandria via LeMat-Bulk). Values from VASP.

Quantum ESPRESSO input file:
```
&SYSTEM
  ibrav = 0, nat = 24, ntyp = 5
/
ATOMIC_SPECIES
Na 22.99 Na.upf
Si 28.09 Si.upf
Bi 208.98 Bi.upf
C 12.01 C.upf
O 16.00 O.upf
CELL_PARAMETERS angstrom
5.297 0.000 0.000
0.000 6.877 0.000
-0.055 0.000 9.305
ATOMIC_POSITIONS crystal
Na 0.242 0.008 0.218
Na 0.242 0.492 0.218
Na 0.758 0.508 0.782
Na 0.758 0.992 0.782
Si 0.290 0.750 0.585
Si 0.710 0.250 0.415
Bi 0.206 0.250 0.627
Bi 0.794 0.750 0.373
C 0.264 0.250 0.921
C 0.736 0.750 0.079
O 0.042 0.250 0.858
O 0.168 0.563 0.669
O 0.168 0.937 0.669
O 0.208 0.750 0.413
O 0.296 0.250 0.054
O 0.399 0.250 0.406
O 0.459 0.250 0.831
O 0.541 0.750 0.169
O 0.601 0.750 0.594
O 0.704 0.750 0.946
O 0.792 0.250 0.587
O 0.832 0.063 0.331
O 0.832 0.437 0.331
O 0.958 0.750 0.142
```

Summary:
Raw formation energy (meV per atom): -1883
Magnetic moment (μB per cell): 0.000